The following is a PBE calculation of a geometry-optimized Nd12Tm3Zn structure, from the Alexandria database.

abc: 5.065 5.065 20.441
angles: 90.00 90.00 90.00
Positions (direct):
Nd: 0.500 0.500 0.244
Nd: 0.000 0.500 0.373
Nd: 0.000 0.500 0.881
Nd: 0.500 0.500 0.500
Nd: 0.500 0.500 0.756
Nd: 0.500 0.500 0.000
Nd: 0.500 0.000 0.627
Tm: 0.000 0.000 0.500
Nd: 0.500 0.000 0.881
Nd: 0.500 0.000 0.119
Tm: 0.000 0.000 0.246
Nd: 0.500 0.000 0.373
Nd: 0.000 0.500 0.119
Zn: 0.000 0.000 0.000
Nd: 0.000 0.500 0.627
Tm: 0.000 0.000 0.754

Summary:
Crystal system ... tetragonal

=====

The following is a PBE calculation of a geometry-optimized La3Tb2Mg3 structure, from the Alexandria database.

abc: 3.855 5.658 12.001
angles: 103.63 99.24 90.00
Positions (direct):
Mg: 0.121 0.121 0.242
Tb: 0.736 0.236 0.472
La: 0.374 0.374 0.748
Mg: 0.000 0.500 0.000
La: 0.626 0.626 0.252
La: 0.500 0.000 0.000
Tb: 0.264 0.764 0.528
Mg: 0.879 0.879 0.758

Summary:
Crystal system ... orthorhombic

=====

| no. | ΔE_f (kcal/mol of atoms) |
| --- | --- |
| 1 | 0.2 |
| 2 | -1.7 |